# LiZn2Cd3Rh3 PBE relaxed
data_LiZn2Cd3Rh3
_chemical_formula_sum 'Li1 Zn2 Cd3 Rh3'
_space_group_name_H-M_alt 'P -6 2 m'
_space_group_IT_number 189
_space_group_name_Hall 'P -6 -2'
_cell_length_a 7.3548
_cell_length_b 7.3548
_cell_length_c 2.9904
_cell_angle_alpha 90.00
_cell_angle_beta 90.00
_cell_angle_gamma 120.00
loop_
_atom_site_label
_atom_site_fract_x
_atom_site_fract_y
_atom_site_fract_z
_atom_site_occupancy
Li1 0.0000 0.0000 0.0000 1
Zn1 0.3333 0.6667 0.5000 1
Cd1 0.0000 0.7136 0.5000 1
Rh1 0.0000 0.3712 0.0000 1
# D(E_F)   2.10 states/eV/f.u.
# E_form   -0.2173 eV per atom
# Total energy   -31.22 eV per cell